(1)
# Tl2H2F5 (PBE, relaxed)
data_Tl2H2F5
_cell_length_a 16.811
_cell_length_b 3.998
_cell_length_c 4.833
_cell_angle_alpha 90.00
_cell_angle_beta 106.40
_cell_angle_gamma 90.00
_symmetry_space_group_name_H-M 'C 1 2/m 1'
_symmetry_Int_Tables_number 12
_symmetry_space_group_name_Hall '-C 2y'
loop_
_atom_site_label
_atom_site_fract_x
_atom_site_fract_y
_atom_site_fract_z
Tl1 0.105 0.000 0.107
H1 0.219 0.000 0.720
F1 0.000 0.500 0.000
F2 0.141 0.000 0.643
F3 0.215 0.500 0.215
# - energy above the lowest structure with this stoichiometry (meV/atom) = 77
# - DFT total energy (eV for the cell shown) = -71.56
# - theoretical density (Mg/m³) = 5.39


(2)
# DyLu3 (PBE, relaxed)
data_DyLu3
_cell_length_a 3.544
_cell_length_b 11.012
_cell_length_c 6.128
_cell_angle_alpha 90.00
_cell_angle_beta 90.00
_cell_angle_gamma 90.00
_symmetry_space_group_name_H-M 'I m m 2'
_symmetry_Int_Tables_number 44
_symmetry_space_group_name_Hall 'I 2 -2'
loop_
_atom_site_label
_atom_site_fract_x
_atom_site_fract_y
_atom_site_fract_z
Dy1 0.000 0.000 0.000
Lu1 0.000 0.249 0.335
Lu2 0.000 0.500 0.002
# - energy above the lowest structure with this stoichiometry (meV/atom) = 0
# - E_form (eV/f.u.) = -0.01
# - DFT total energy (eV for the cell shown) = -36.34
# - theoretical density (Mg/m³) = 9.55


(3)
# Na3DyBi2Se6 (PBE, relaxed)
data_Na3DyBi2Se6
_cell_length_a 7.297
_cell_length_b 12.645
_cell_length_c 7.468
_cell_angle_alpha 90.00
_cell_angle_beta 109.03
_cell_angle_gamma 90.00
_symmetry_space_group_name_H-M 'C 1 2/m 1'
_symmetry_Int_Tables_number 12
_symmetry_space_group_name_Hall '-C 2y'
loop_
_atom_site_label
_atom_site_fract_x
_atom_site_fract_y
_atom_site_fract_z
Na1 0.000 0.000 0.000
Na2 0.000 0.328 0.000
Dy1 0.000 0.500 0.500
Bi1 0.000 0.166 0.500
Se1 0.241 0.337 0.734
Se2 0.248 0.500 0.265
# - uncorrected formation energy (eV/atom) = -1.062
# - DFT total energy (eV for the cell shown) = -99.93
# - theoretical density (Mg/m³) = 5.73


(4)
# AcTb7Ho3 (PBE, relaxed)
data_AcTb7Ho3
_cell_length_a 7.1221
_cell_length_b 7.1221
_cell_length_c 8.6670
_cell_angle_alpha 90.00
_cell_angle_beta 90.00
_cell_angle_gamma 120.00
_symmetry_space_group_name_H-M 'P 3 m 1'
_symmetry_Int_Tables_number 156
_symmetry_space_group_name_Hall 'P 3 -2"'
loop_
_atom_site_label
_atom_site_fract_x
_atom_site_fract_y
_atom_site_fract_z
Ac1 0.0000 0.0000 0.0000
Tb1 0.0027 0.5014 0.9963
Tb2 0.3328 0.1664 0.3338
Tb3 0.3333 0.6667 0.3279
Ho1 0.1686 0.3371 0.6589
# - energy above the lowest structure with this stoichiometry (meV/atom) = 72
# - E_form (eV/f.u.) = 2.35
# - DFT total energy (eV for the cell shown) = -47.91
# - theoretical density (Mg/m³) = 8.00


(5)
# SrLi17Ac (PBE, relaxed)
data_SrLi17Ac
_cell_length_a 10.2343
_cell_length_b 10.2343
_cell_length_c 14.9645
_cell_angle_alpha 90.00
_cell_angle_beta 90.00
_cell_angle_gamma 120.00
_symmetry_space_group_name_H-M 'R 3 m'
_symmetry_Int_Tables_number 160
_symmetry_space_group_name_Hall 'R 3 -2"'
loop_
_atom_site_label
_atom_site_fract_x
_atom_site_fract_y
_atom_site_fract_z
Sr1 0.0000 0.0000 0.0000
Li1 0.0000 0.0000 0.2524
Li2 0.0000 0.0000 0.4436
Li3 0.0009 0.2900 0.3490
Li4 0.0009 0.5005 0.8493
Li5 0.0084 0.5042 0.1967
Li6 0.1693 0.3387 0.8334
Ac1 0.0000 0.0000 0.6923
# - E_form (eV/f.u.) = 0.70
# - DFT total energy (eV for the cell shown) = -112.87
# - theoretical density (Mg/m³) = 1.59


(6)
# TaAl4W (PBE, relaxed)
data_TaAl4W
_cell_length_a 7.156
_cell_length_b 7.156
_cell_length_c 7.156
_cell_angle_alpha 90.00
_cell_angle_beta 90.00
_cell_angle_gamma 90.00
_symmetry_space_group_name_H-M 'F -4 3 m'
_symmetry_Int_Tables_number 216
_symmetry_space_group_name_Hall 'F -4 2 3'
loop_
_atom_site_label
_atom_site_fract_x
_atom_site_fract_y
_atom_site_fract_z
Ta1 0.000 0.000 0.000
Al1 0.125 0.125 0.625
W1 0.250 0.250 0.250
# - E_form (eV/f.u.) = -0.06
# - DFT total energy (eV for the cell shown) = -159.34
# - theoretical density (Mg/m³) = 8.57